Run A
Entry from Alexandria via LeMat-Bulk: crystalline Li8Mn7FeB8O24 at its relaxed geometry (PBE+U).

```
data_Li8Mn7FeB8O24
_chemical_formula_sum 'Li8 Mn7 Fe1 B8 O24'
_cell_length_a 5.200
_cell_length_b 5.952
_cell_length_c 17.841
_cell_angle_alpha 85.12
_cell_angle_beta 82.85
_cell_angle_gamma 66.70
_symmetry_space_group_name_H-M 'P 1'
_symmetry_Int_Tables_number 1
_symmetry_space_group_name_Hall 'P 1'
loop_
_atom_site_label
_atom_site_fract_x
_atom_site_fract_y
_atom_site_fract_z
Li1 0.000 0.000 0.000
Li2 0.001 0.497 0.499
Li3 0.014 0.079 0.560
Li4 0.017 0.575 0.060
Li5 0.495 0.252 0.751
Li6 0.503 0.749 0.249
Li7 0.511 0.830 0.811
Li8 0.514 0.328 0.310
Mn1 0.035 0.849 0.716
Mn2 0.044 0.344 0.215
Mn3 0.475 0.484 0.593
Mn4 0.541 0.090 0.466
Mn5 0.541 0.592 0.967
Mn6 0.972 0.230 0.845
Mn7 0.976 0.729 0.344
Fe1 0.488 0.980 0.093
B1 0.025 0.697 0.885
B2 0.027 0.194 0.385
B3 0.483 0.132 0.926
B4 0.485 0.630 0.424
B5 0.527 0.946 0.635
B6 0.532 0.446 0.135
B7 0.984 0.385 0.675
B8 0.989 0.883 0.174
O1 0.115 0.157 0.456
O2 0.115 0.660 0.956
O3 0.125 0.830 0.829
O4 0.132 0.323 0.328
O5 0.196 0.461 0.690
O6 0.204 0.958 0.186
O7 0.315 0.872 0.620
O8 0.321 0.371 0.120
O9 0.372 0.013 0.984
O10 0.375 0.510 0.481
O11 0.394 0.668 0.352
O12 0.396 0.166 0.855
O13 0.611 0.913 0.707
O14 0.618 0.410 0.207
O15 0.642 0.063 0.578
O16 0.646 0.564 0.078
O17 0.696 0.207 0.940
O18 0.698 0.704 0.438
O19 0.821 0.112 0.369
O20 0.822 0.611 0.870
O21 0.869 0.269 0.733
O22 0.881 0.765 0.233
O23 0.892 0.919 0.104
O24 0.899 0.418 0.603
```

Summary:
Theoretical density, Mg/m³: 3.19


Run B
Entry from Alexandria via LeMat-Bulk: crystalline Li8Mn7FeB8O24 at its relaxed geometry (PBE+U).

```
data_Li8Mn7FeB8O24
_chemical_formula_sum 'Li8 Mn7 Fe1 B8 O24'
_cell_length_a 5.986
_cell_length_b 9.737
_cell_length_c 9.843
_cell_angle_alpha 64.81
_cell_angle_beta 79.73
_cell_angle_gamma 78.73
_symmetry_space_group_name_H-M 'P 1'
_symmetry_Int_Tables_number 1
_symmetry_space_group_name_Hall 'P 1'
loop_
_atom_site_label
_atom_site_fract_x
_atom_site_fract_y
_atom_site_fract_z
Li1 0.000 0.000 0.000
Li2 0.000 0.497 0.500
Li3 0.085 0.430 0.121
Li4 0.088 0.930 0.623
Li5 0.500 0.998 0.497
Li6 0.503 0.496 0.001
Li7 0.589 0.431 0.623
Li8 0.592 0.934 0.124
Mn1 0.226 0.167 0.687
Mn2 0.226 0.668 0.186
Mn3 0.363 0.761 0.435
Mn4 0.370 0.260 0.936
Mn5 0.725 0.667 0.688
Mn6 0.862 0.260 0.433
Mn7 0.863 0.762 0.935
Fe1 0.723 0.166 0.191
B1 0.210 0.099 0.272
B2 0.212 0.598 0.773
B3 0.376 0.330 0.348
B4 0.377 0.830 0.850
B5 0.712 0.099 0.772
B6 0.712 0.599 0.272
B7 0.877 0.832 0.350
B8 0.880 0.328 0.853
O1 0.022 0.216 0.239
O2 0.030 0.718 0.744
O3 0.057 0.711 0.378
O4 0.064 0.209 0.879
O5 0.202 0.327 0.463
O6 0.202 0.831 0.964
O7 0.217 0.984 0.415
O8 0.222 0.483 0.916
O9 0.366 0.446 0.206
O10 0.370 0.945 0.706
O11 0.387 0.600 0.657
O12 0.396 0.105 0.161
O13 0.531 0.219 0.742
O14 0.531 0.720 0.243
O15 0.558 0.210 0.376
O16 0.558 0.709 0.880
O17 0.701 0.829 0.465
O18 0.707 0.324 0.970
O19 0.719 0.483 0.415
O20 0.720 0.984 0.916
O21 0.867 0.444 0.710
O22 0.869 0.949 0.207
O23 0.886 0.099 0.657
O24 0.886 0.599 0.158
```

Summary:
Theoretical density, Mg/m³: 3.17


Run C
Entry from Alexandria via LeMat-Bulk: crystalline Li8Mn7FeB8O24 at its relaxed geometry (PBE+U).

```
data_Li8Mn7FeB8O24
_chemical_formula_sum 'Li8 Mn7 Fe1 B8 O24'
_cell_length_a 5.284
_cell_length_b 6.018
_cell_length_c 17.682
_cell_angle_alpha 90.01
_cell_angle_beta 98.58
_cell_angle_gamma 113.49
_symmetry_space_group_name_H-M 'P 1'
_symmetry_Int_Tables_number 1
_symmetry_space_group_name_Hall 'P 1'
loop_
_atom_site_label
_atom_site_fract_x
_atom_site_fract_y
_atom_site_fract_z
Li1 0.000 0.000 0.000
Li2 0.030 0.066 0.718
Li3 0.248 0.751 0.751
Li4 0.283 0.820 0.468
Li5 0.500 0.500 0.502
Li6 0.533 0.569 0.217
Li7 0.750 0.250 0.251
Li8 0.785 0.321 0.967
Mn1 0.037 0.501 0.587
Mn2 0.247 0.322 0.880
Mn3 0.288 0.251 0.336
Mn4 0.495 0.070 0.634
Mn5 0.538 0.000 0.086
Mn6 0.745 0.819 0.383
Mn7 0.995 0.569 0.132
Fe1 0.792 0.753 0.839
B1 0.131 0.105 0.167
B2 0.151 0.714 0.301
B3 0.384 0.854 0.916
B4 0.402 0.463 0.051
B5 0.630 0.606 0.668
B6 0.653 0.218 0.802
B7 0.881 0.356 0.417
B8 0.901 0.964 0.552
O1 0.110 0.450 0.475
O2 0.129 0.903 0.553
O3 0.132 0.954 0.106
O4 0.149 0.908 0.915
O5 0.151 0.866 0.362
O6 0.174 0.368 0.993
O7 0.361 0.199 0.225
O8 0.379 0.652 0.302
O9 0.392 0.708 0.856
O10 0.399 0.614 0.111
O11 0.402 0.669 0.666
O12 0.421 0.122 0.745
O13 0.609 0.950 0.974
O14 0.631 0.402 0.052
O15 0.633 0.456 0.608
O16 0.653 0.369 0.862
O17 0.653 0.417 0.417
O18 0.672 0.870 0.494
O19 0.856 0.699 0.727
O20 0.880 0.156 0.802
O21 0.882 0.204 0.357
O22 0.900 0.116 0.612
O23 0.903 0.167 0.166
O24 0.922 0.620 0.244
```

Summary:
Theoretical density, Mg/m³: 3.15


It is run C that is most stable; the runner-up trails by 42 meV/atom.


Run A
Entry from Alexandria via LeMat-Bulk: crystalline Li4Mn3FeB4O12 at its relaxed geometry (PBE+U).

```
data_Li4Mn3FeB4O12
_chemical_formula_sum 'Li4 Mn3 Fe1 B4 O12'
_cell_length_a 5.234
_cell_length_b 5.247
_cell_length_c 10.479
_cell_angle_alpha 91.22
_cell_angle_beta 90.77
_cell_angle_gamma 119.87
_symmetry_space_group_name_H-M 'P 1'
_symmetry_Int_Tables_number 1
_symmetry_space_group_name_Hall 'P 1'
loop_
_atom_site_label
_atom_site_fract_x
_atom_site_fract_y
_atom_site_fract_z
Li1 0.000 0.000 0.000
Li2 0.015 0.986 0.503
Li3 0.672 0.685 0.752
Li4 0.696 0.656 0.253
Mn1 0.023 0.331 0.288
Mn2 0.346 0.668 0.037
Mn3 0.350 0.016 0.784
Fe1 0.676 0.336 0.536
B1 0.009 0.341 0.792
B2 0.345 0.666 0.544
B3 0.350 0.994 0.296
B4 0.684 0.333 0.043
O1 0.073 0.962 0.311
O2 0.097 0.403 0.504
O3 0.281 0.592 0.824
O4 0.323 0.916 0.574
O5 0.381 0.757 0.252
O6 0.419 0.091 0.999
O7 0.600 0.266 0.326
O8 0.618 0.685 0.557
O9 0.709 0.608 0.059
O10 0.773 0.372 0.751
O11 0.926 0.299 0.075
O12 0.979 0.065 0.807
```

Summary:
Theoretical density, Mg/m³: 3.22


Run B
Entry from Alexandria via LeMat-Bulk: crystalline Li4Mn3FeB4O12 at its relaxed geometry (PBE+U).

```
data_Li4Mn3FeB4O12
_chemical_formula_sum 'Li4 Mn3 Fe1 B4 O12'
_cell_length_a 5.287
_cell_length_b 6.164
_cell_length_c 7.857
_cell_angle_alpha 78.64
_cell_angle_beta 87.88
_cell_angle_gamma 88.25
_symmetry_space_group_name_H-M 'P 1'
_symmetry_Int_Tables_number 1
_symmetry_space_group_name_Hall 'P 1'
loop_
_atom_site_label
_atom_site_fract_x
_atom_site_fract_y
_atom_site_fract_z
Li1 0.000 0.000 0.000
Li2 0.141 0.740 0.615
Li3 0.498 0.494 0.505
Li4 0.644 0.244 0.117
Mn1 0.148 0.456 0.984
Mn2 0.494 0.790 0.135
Mn3 0.655 0.944 0.486
Fe1 0.988 0.279 0.631
B1 0.148 0.105 0.312
B2 0.497 0.133 0.801
B3 0.645 0.604 0.814
B4 0.996 0.637 0.310
O1 0.040 0.026 0.477
O2 0.100 0.714 0.143
O3 0.147 0.531 0.442
O4 0.239 0.172 0.825
O5 0.407 0.073 0.284
O6 0.489 0.699 0.682
O7 0.540 0.530 0.982
O8 0.611 0.202 0.634
O9 0.646 0.039 0.937
O10 0.737 0.677 0.343
O11 0.902 0.571 0.783
O12 0.997 0.203 0.177
```

Summary:
Theoretical density, Mg/m³: 3.20


It is run A that is most stable; the runner-up trails by 81 meV/atom.


Run A
Entry from Alexandria via LeMat-Bulk: crystalline Li4Mn3FeB4O12 at its relaxed geometry (PBE+U).

```
data_Li4Mn3FeB4O12
_chemical_formula_sum 'Li4 Mn3 Fe1 B4 O12'
_cell_length_a 5.246
_cell_length_b 6.011
_cell_length_c 8.255
_cell_angle_alpha 103.08
_cell_angle_beta 90.73
_cell_angle_gamma 90.88
_symmetry_space_group_name_H-M 'P 1'
_symmetry_Int_Tables_number 1
_symmetry_space_group_name_Hall 'P 1'
loop_
_atom_site_label
_atom_site_fract_x
_atom_site_fract_y
_atom_site_fract_z
Li1 0.000 0.000 0.000
Li2 0.189 0.590 0.942
Li3 0.500 0.503 0.497
Li4 0.692 0.093 0.438
Mn1 0.018 0.729 0.637
Mn2 0.517 0.230 0.139
Mn3 0.672 0.364 0.797
Fe1 0.182 0.868 0.301
B1 0.020 0.382 0.313
B2 0.172 0.213 0.621
B3 0.518 0.878 0.815
B4 0.673 0.713 0.125
O1 0.023 0.031 0.528
O2 0.056 0.386 0.736
O3 0.135 0.206 0.200
O4 0.170 0.564 0.404
O5 0.259 0.869 0.842
O6 0.431 0.221 0.593
O7 0.525 0.532 0.031
O8 0.551 0.887 0.238
O9 0.635 0.703 0.702
O10 0.668 0.060 0.906
O11 0.761 0.372 0.342
O12 0.932 0.726 0.102
```

Summary:
Theoretical density, Mg/m³: 3.17


Run B
Entry from Alexandria via LeMat-Bulk: crystalline Li4Mn3FeB4O12 at its relaxed geometry (PBE+U).

```
data_Li4Mn3FeB4O12
_chemical_formula_sum 'Li8 Mn6 Fe2 B8 O24'
_cell_length_a 5.253
_cell_length_b 5.900
_cell_length_c 16.195
_cell_angle_alpha 80.93
_cell_angle_beta 88.92
_cell_angle_gamma 88.82
_symmetry_space_group_name_H-M 'P -1'
_symmetry_Int_Tables_number 2
_symmetry_space_group_name_Hall '-P 1'
loop_
_atom_site_label
_atom_site_fract_x
_atom_site_fract_y
_atom_site_fract_z
Li1 0.149 0.431 0.113
Li2 0.161 0.930 0.612
Li3 0.337 0.817 0.138
Li4 0.344 0.327 0.637
Mn1 0.173 0.538 0.292
Mn2 0.182 0.033 0.790
Mn3 0.318 0.208 0.459
Fe1 0.335 0.721 0.962
B1 0.177 0.213 0.955
B2 0.178 0.711 0.452
B3 0.319 0.035 0.298
B4 0.332 0.539 0.798
O1 0.080 0.265 0.562
O2 0.082 0.763 0.058
O3 0.168 0.178 0.341
O4 0.187 0.672 0.846
O5 0.202 0.908 0.243
O6 0.210 0.425 0.741
O7 0.293 0.327 0.014
O8 0.295 0.842 0.505
O9 0.327 0.564 0.410
O10 0.329 0.084 0.908
O11 0.408 0.485 0.191
O12 0.423 0.990 0.688
```

Summary:
Theoretical density, Mg/m³: 3.24


Run C
Entry from Alexandria via LeMat-Bulk: crystalline Li4Mn3FeB4O12 at its relaxed geometry (PBE+U).

```
data_Li4Mn3FeB4O12
_chemical_formula_sum 'Li4 Mn3 Fe1 B4 O12'
_cell_length_a 5.194
_cell_length_b 5.247
_cell_length_c 10.869
_cell_angle_alpha 76.71
_cell_angle_beta 78.93
_cell_angle_gamma 60.75
_symmetry_space_group_name_H-M 'P 1'
_symmetry_Int_Tables_number 1
_symmetry_space_group_name_Hall 'P 1'
loop_
_atom_site_label
_atom_site_fract_x
_atom_site_fract_y
_atom_site_fract_z
Li1 0.000 0.000 0.000
Li2 0.206 0.924 0.329
Li3 0.495 0.497 0.510
Li4 0.712 0.419 0.822
Mn1 0.323 0.334 0.042
Mn2 0.819 0.836 0.547
Mn3 0.880 0.588 0.285
Fe1 0.387 0.079 0.787
B1 0.048 0.748 0.795
B2 0.158 0.169 0.541
B3 0.541 0.252 0.297
B4 0.663 0.671 0.029
O1 0.020 0.014 0.811
O2 0.199 0.902 0.520
O3 0.303 0.483 0.824
O4 0.316 0.237 0.251
O5 0.384 0.183 0.588
O6 0.408 0.933 0.994
O7 0.502 0.520 0.317
O8 0.699 0.401 0.014
O9 0.799 0.992 0.329
O10 0.811 0.743 0.754
O11 0.887 0.687 0.077
O12 0.902 0.429 0.508
```

Summary:
Theoretical density, Mg/m³: 3.21


It is run A that is most stable; the runner-up trails by 81 meV/atom.


Run A
Entry from Alexandria via LeMat-Bulk: crystalline Li3Mn2FeB3O9 at its relaxed geometry (PBE+U).

```
data_Li3Mn2FeB3O9
_chemical_formula_sum 'Li12 Mn8 Fe4 B12 O36'
_cell_length_a 16.497
_cell_length_b 6.343
_cell_length_c 8.264
_cell_angle_alpha 90.00
_cell_angle_beta 120.04
_cell_angle_gamma 90.00
_symmetry_space_group_name_H-M 'C 1 m 1'
_symmetry_Int_Tables_number 8
_symmetry_space_group_name_Hall 'C -2y'
loop_
_atom_site_label
_atom_site_fract_x
_atom_site_fract_y
_atom_site_fract_z
Li1 0.000 0.249 0.000
Li2 0.158 0.249 0.582
Li3 0.366 0.250 0.314
Mn1 0.014 0.500 0.673
Mn2 0.189 0.500 0.287
Mn3 0.190 0.000 0.288
Mn4 0.322 0.500 0.937
Fe1 0.011 0.000 0.665
Fe2 0.324 0.000 0.938
B1 0.007 0.500 0.299
B2 0.009 0.000 0.301
B3 0.175 0.248 0.964
B4 0.342 0.250 0.633
O1 0.104 0.500 0.411
O2 0.106 0.000 0.414
O3 0.118 0.247 0.770
O4 0.134 0.250 0.077
O5 0.272 0.248 0.045
O6 0.289 0.250 0.439
O7 0.298 0.247 0.739
O8 0.439 0.254 0.722
O9 0.451 0.000 0.380
O10 0.453 0.500 0.383
O11 0.466 0.000 0.105
O12 0.468 0.500 0.107
```

Summary:
Theoretical density, Mg/m³: 3.22


Run B
Entry from Alexandria via LeMat-Bulk: crystalline Li3Mn2FeB3O9 at its relaxed geometry (PBE+U).

```
data_Li3Mn2FeB3O9
_chemical_formula_sum 'Li6 Mn4 Fe2 B6 O18'
_cell_length_a 6.333
_cell_length_b 8.196
_cell_length_c 8.794
_cell_angle_alpha 62.23
_cell_angle_beta 69.03
_cell_angle_gamma 89.65
_symmetry_space_group_name_H-M 'P 1'
_symmetry_Int_Tables_number 1
_symmetry_space_group_name_Hall 'P 1'
loop_
_atom_site_label
_atom_site_fract_x
_atom_site_fract_y
_atom_site_fract_z
Li1 0.000 0.000 0.000
Li2 0.121 0.577 0.742
Li3 0.286 0.317 0.427
Li4 0.501 0.000 0.000
Li5 0.623 0.578 0.742
Li6 0.785 0.316 0.428
Mn1 0.200 0.285 0.097
Mn2 0.397 0.929 0.710
Mn3 0.699 0.285 0.098
Mn4 0.899 0.930 0.709
Fe1 0.061 0.676 0.358
Fe2 0.561 0.676 0.359
B1 0.296 0.961 0.394
B2 0.387 0.300 0.721
B3 0.473 0.633 0.058
B4 0.796 0.961 0.394
B5 0.887 0.299 0.720
B6 0.973 0.632 0.059
O1 0.070 0.740 0.864
O2 0.234 0.767 0.475
O3 0.249 0.043 0.508
O4 0.332 0.106 0.833
O5 0.342 0.413 0.805
O6 0.403 0.073 0.200
O7 0.424 0.439 0.144
O8 0.424 0.720 0.166
O9 0.487 0.384 0.527
O10 0.570 0.742 0.864
O11 0.736 0.766 0.475
O12 0.747 0.041 0.509
O13 0.833 0.103 0.831
O14 0.841 0.409 0.806
O15 0.902 0.073 0.200
O16 0.924 0.438 0.145
O17 0.924 0.720 0.166
O18 0.987 0.384 0.526
```

Summary:
Theoretical density, Mg/m³: 3.26


It is run A that is most stable; the runner-up trails by 129 meV/atom.